Entry 1:
Ta2IrPt after structural relaxation, computed with GGA-PBE.

## Properties
Magnetic moment = 0.000 μB/atom
Fermi-level density of states = 1.09 states/eV/atom
Energy = -9.96 eV/atom
SG = P4mm, No. 99
E_form = -0.3110 eV per atom

The structure in POSCAR format:
```
Ta2IrPt
1.0
2.9040 0.0000 0.0000
0.0000 2.9040 0.0000
0.0000 0.0000 7.9684
Ta Ir Pt
2 1 1
Direct
0.5000 0.5000 0.2673 Ta
0.0000 0.0000 0.9901 Ta
0.0000 0.0000 0.4915 Ir
0.5000 0.5000 0.7511 Pt
```



Entry 2:
AgMo2W after structural relaxation, computed with GGA-PBE.

## Properties
Magnetic moment = 0.000 μB/atom
Fermi-level density of states = 0.67 states/eV/atom
Energy = -9.08 eV/atom
SG = Cmm2, No. 35
E_form = 0.2830 eV per atom
Energy above the lowest structure with this stoichiometry = 37 meV/atom

The structure in POSCAR format:
```
AgMo2W
1.0
2.7254 0.0139 0.0000
-0.8405 2.5926 0.0000
0.0000 0.0000 9.2409
Mo W Ag
2 1 1
Direct
0.0000 0.0000 0.0111 Mo
0.5000 0.5000 0.2497 Mo
0.0000 0.0000 0.4893 W
0.5000 0.5000 0.7499 Ag
```



Entry 3:
Sm2SnGe3Rh4 after structural relaxation, computed with GGA-PBE.

## Properties
Magnetic moment = 0.000 μB/atom
Fermi-level density of states = 0.62 states/eV/atom
Energy = -6.49 eV/atom
SG = P-4m2, No. 115
E_form = -0.8199 eV per atom

The structure in POSCAR format:
```
Sm2SnGe3Rh4
1.0
-2.2334 0.2603 -3.6331
0.4256 -4.2139 -0.5636
-8.8090 -1.5985 5.3005
Rh Sn Ge Sm
4 1 3 2
Direct
0.0000 0.5000 0.3579 Rh
0.0000 0.0000 0.0000 Rh
0.5000 0.0000 0.6421 Rh
0.5000 0.5000 0.0000 Rh
0.5000 0.5000 0.5000 Sn
0.5000 0.0000 0.8745 Ge
0.0000 0.0000 0.5000 Ge
0.0000 0.5000 0.1255 Ge
0.5000 0.0000 0.2456 Sm
0.0000 0.5000 0.7544 Sm
```



Entry 4:
Pr6SmHo2Er3 after structural relaxation, computed with GGA-PBE.

## Properties
Magnetic moment = 0.000 μB/atom
Fermi-level density of states = 1.08 states/eV/atom
Energy = -4.67 eV/atom
SG = C2/m, No. 12
E_form = 0.0131 eV per atom

The structure in POSCAR format:
```
Pr6SmHo2Er3
1.0
-6.2573 -0.4688 -0.5534
3.6361 -5.0483 -0.9867
0.0788 -0.9492 11.8314
Pr Er Ho Sm
6 3 2 1
Direct
0.4179 0.0841 0.2516 Pr
0.7504 0.7504 0.2515 Pr
0.9159 0.5821 0.7484 Pr
0.0841 0.4179 0.2516 Pr
0.5821 0.9159 0.7484 Pr
0.2496 0.2496 0.7485 Pr
0.8332 0.1668 0.5000 Er
0.1668 0.8332 0.5000 Er
0.5000 0.5000 0.5000 Er
0.3335 0.6665 0.0000 Ho
0.6665 0.3335 0.0000 Ho
0.0000 0.0000 0.0000 Sm
```



Entry 5:
CaGe2Rh after structural relaxation, computed with GGA-PBE.

## Properties
Magnetic moment = 0.000 μB/atom
Fermi-level density of states = 0.61 states/eV/atom
Energy = -5.23 eV/atom
SG = Pnma, No. 62
E_form = -0.5796 eV per atom

The structure in POSCAR format:
```
CaGe2Rh
1.0
-3.4054 4.2418 1.7865
-3.6486 -4.3701 3.4213
4.7408 1.0902 6.4482
Ge Ca Rh
8 4 4
Direct
0.3831 0.9433 0.3246 Ge
0.8831 0.0567 0.1754 Ge
0.1169 0.5567 0.8246 Ge
0.1169 0.9433 0.8246 Ge
0.6169 0.4433 0.6754 Ge
0.6169 0.0567 0.6754 Ge
0.3831 0.5567 0.3246 Ge
0.8831 0.4433 0.1754 Ge
0.8739 0.7500 0.4558 Ca
0.1261 0.2500 0.5442 Ca
0.6261 0.7500 0.9558 Ca
0.3739 0.2500 0.0442 Ca
0.6411 0.2500 0.3984 Rh
0.8589 0.2500 0.8984 Rh
0.1411 0.7500 0.1016 Rh
0.3589 0.7500 0.6016 Rh
```



Entry 6:
NaDy2Th3Te6 after structural relaxation, computed with GGA-PBE.

## Properties
Magnetic moment = 0.000 μB/atom
Fermi-level density of states = 0.64 states/eV/atom
Energy = -5.43 eV/atom
SG = C2/m, No. 12
Uncorrected formation energy = -1129.5 meV per atom

The structure in POSCAR format:
```
NaDy2Th3Te6
1.0
4.2219 0.0000 0.0000
0.0000 9.2959 -0.2091
-2.1110 -3.2428 9.4130
Te Dy Th Na
6 2 3 1
Direct
0.6623 0.0916 0.3246 Te
0.3377 0.9084 0.6754 Te
0.9968 0.7556 0.9936 Te
0.6689 0.5776 0.3379 Te
0.0032 0.2444 0.0064 Te
0.3311 0.4224 0.6621 Te
0.8318 0.6630 0.6637 Dy
0.1682 0.3370 0.3363 Dy
0.5000 0.5000 0.0000 Th
0.8321 0.1640 0.6642 Th
0.1679 0.8360 0.3358 Th
0.5000 0.0000 0.0000 Na
```



Entry 7:
Ba2CaNd after structural relaxation, computed with GGA-PBE.

## Properties
Magnetic moment = 0.000 μB/atom
Fermi-level density of states = 1.19 states/eV/atom
Energy = -2.48 eV/atom
SG = Fm-3m, No. 225
E_form = 0.1704 eV per atom
Energy above the lowest structure with this stoichiometry = 27 meV/atom

The structure in POSCAR format:
```
Ba2CaNd
1.0
-1.2399 -6.3086 0.9083
0.4353 -2.5709 5.9466
-5.3763 -1.8318 3.1465
Ba Nd Ca
2 1 1
Direct
0.2500 0.2500 0.2500 Ba
0.7500 0.7500 0.7500 Ba
0.5000 0.5000 0.5000 Nd
0.0000 0.0000 0.0000 Ca
```



Entry 8:
InRhBr2 after structural relaxation, computed with GGA-PBE.

## Properties
Magnetic moment = 0.000 μB/atom
Fermi-level density of states = 1.00 states/eV/atom
Energy = -3.17 eV/atom
SG = C2/m, No. 12
Uncorrected formation energy = 185.8 meV per atom
Energy above the lowest structure with this stoichiometry = 462 meV/atom

The structure in POSCAR format:
```
InRhBr2
1.0
-1.4542 1.0827 4.8042
-3.8363 -0.3342 -3.3420
-3.2046 -3.8673 0.8777
Br In Rh
2 1 1
Direct
0.0000 0.0000 0.0000 Br
0.5000 0.0000 0.5000 Br
0.0000 0.5000 0.5000 In
0.5000 0.5000 0.0000 Rh
```



Entry 9:
ZnNiPt after structural relaxation, computed with GGA-PBE.

## Properties
Magnetic moment = 0.099 μB/atom
Fermi-level density of states = 0.83 states/eV/atom
Energy = -4.69 eV/atom
SG = C2/m, No. 12
E_form = -0.3293 eV per atom

The structure in POSCAR format:
```
ZnNiPt
1.0
5.2901 0.0000 0.0087
0.0000 3.8594 0.0000
-2.0181 0.0000 7.9090
Pt Zn Ni
4 4 4
Direct
0.1775 0.5000 0.8355 Pt
0.8225 0.0000 0.6645 Pt
0.8225 0.5000 0.1645 Pt
0.1775 0.0000 0.3355 Pt
0.3273 0.0000 0.6618 Zn
0.6727 0.5000 0.8382 Zn
0.3273 0.5000 0.1618 Zn
0.6727 0.0000 0.3382 Zn
0.5000 0.0000 0.0000 Ni
0.5000 0.5000 0.5000 Ni
0.0000 0.5000 0.5000 Ni
0.0000 0.0000 0.0000 Ni
```



Entry 10:
Sm6P3S2O after structural relaxation, computed with GGA-PBE.

## Properties
Magnetic moment = 0.000 μB/atom
Fermi-level density of states = 0.33 states/eV/atom
Energy = -6.72 eV/atom
SG = C2/m, No. 12
Uncorrected formation energy = -1904.8 meV per atom

The structure in POSCAR format:
```
Sm6P3S2O
1.0
4.0036 0.0000 0.0000
0.0000 7.9690 0.3117
-2.0018 -2.2643 8.3624
S P Sm O
2 3 6 1
Direct
0.8350 0.6680 0.6700 S
0.1650 0.3320 0.3300 S
0.8306 0.1633 0.6612 P
0.5000 0.5000 0.0000 P
0.1694 0.8367 0.3388 P
0.0026 0.7629 0.0052 Sm
0.3426 0.9250 0.6852 Sm
0.3347 0.4119 0.6694 Sm
0.9974 0.2371 0.9948 Sm
0.6653 0.5881 0.3306 Sm
0.6574 0.0750 0.3148 Sm
0.5000 0.0000 0.0000 O
```



Entry 11:
Cr2InP after structural relaxation, computed with GGA-PBE.

## Properties
Magnetic moment = 1.564 μB/atom
Fermi-level density of states = 0.70 states/eV/atom
Energy = -6.47 eV/atom
SG = I-4m2, No. 119
E_form = 0.3792 eV per atom
Energy above the lowest structure with this stoichiometry = 354 meV/atom

The structure in POSCAR format:
```
Cr2InP
1.0
-3.7986 3.6337 -0.8146
-2.7674 -0.0041 -4.5429
1.4921 -3.4421 3.7712
P Cr In
1 2 1
Direct
0.7500 0.2500 0.5000 P
0.0000 0.0000 0.0000 Cr
0.2500 0.7500 0.5000 Cr
0.5000 0.5000 0.0000 In
```



Entry 12:
LiBe2Pt3 after structural relaxation, computed with GGA-PBE.

## Properties
Magnetic moment = 0.000 μB/atom
Fermi-level density of states = 0.19 states/eV/atom
Energy = -5.32 eV/atom
SG = P4/mmm, No. 123
E_form = -0.7390 eV per atom

The structure in POSCAR format:
```
LiBe2Pt3
1.0
2.8497 0.0000 0.0000
0.0000 2.8497 0.0000
0.0000 0.0000 8.8042
Be Li Pt
2 1 3
Direct
0.5000 0.5000 0.8303 Be
0.5000 0.5000 0.1697 Be
0.5000 0.5000 0.5000 Li
0.0000 0.0000 0.0000 Pt
0.0000 0.0000 0.6798 Pt
0.0000 0.0000 0.3202 Pt
```



Entry 13:
Li2GaMo after structural relaxation, computed with GGA-PBE.

## Properties
Magnetic moment = 0.260 μB/atom
Fermi-level density of states = 0.45 states/eV/atom
Energy = -3.87 eV/atom
SG = I-42d, No. 122
E_form = 0.5540 eV per atom

The structure in POSCAR format:
```
Li2GaMo
1.0
6.9747 0.0000 0.0000
0.0000 6.9747 0.0000
3.4873 3.4873 2.5591
Ga Li Mo
2 4 2
Direct
0.5000 0.5000 0.0000 Ga
0.2500 0.7500 0.5000 Ga
0.3750 0.3945 0.7500 Li
0.8750 0.8555 0.7500 Li
0.6055 0.1250 0.2500 Li
0.1445 0.6250 0.2500 Li
0.7500 0.2500 0.5000 Mo
0.0000 0.0000 0.0000 Mo
```



Entry 14:
BaMn2CoB after structural relaxation, computed with GGA-PBE.

## Properties
Magnetic moment = 1.174 μB/atom
Fermi-level density of states = 0.79 states/eV/atom
Energy = -6.28 eV/atom
SG = P4/mmm, No. 123
E_form = 0.5302 eV per atom

The structure in POSCAR format:
```
BaMn2CoB
1.0
4.3022 0.0000 0.0000
0.0000 4.1696 0.0000
0.0000 0.0000 4.3022
B Co Ba Mn
1 1 1 2
Direct
0.0000 0.0000 0.0000 B
0.0000 0.5000 0.0000 Co
0.5000 0.5000 0.5000 Ba
0.0000 0.0000 0.5000 Mn
0.5000 0.0000 0.0000 Mn
```



Entry 15:
AcTe3 after structural relaxation, computed with GGA-PBE.

## Properties
Magnetic moment = 0.000 μB/atom
Fermi-level density of states = 0.72 states/eV/atom
Energy = -4.15 eV/atom
SG = Pm-3m, No. 221
Uncorrected formation energy = -764.2 meV per atom

The structure in POSCAR format:
```
AcTe3
1.0
5.0246 0.0000 0.0000
0.0000 5.0246 0.0000
0.0000 0.0000 5.0246
Te Ac
3 1
Direct
0.5000 0.5000 0.0000 Te
0.5000 0.0000 0.5000 Te
0.0000 0.5000 0.5000 Te
0.0000 0.0000 0.0000 Ac
```



Entry 16:
Pr4Sm4Tm after structural relaxation, computed with GGA-PBE.

## Properties
Magnetic moment = 0.000 μB/atom
Fermi-level density of states = 1.46 states/eV/atom
Energy = -4.70 eV/atom
SG = I4/mmm, No. 139
E_form = 0.0147 eV per atom
Energy above the lowest structure with this stoichiometry = 0 meV/atom

The structure in POSCAR format:
```
Pr4Sm4Tm
1.0
-2.5602 1.0054 -4.3567
-2.8363 -7.0431 -3.0051
-7.8220 1.4078 1.8749
Pr Tm Sm
4 1 4
Direct
0.6659 0.9999 0.6683 Pr
0.3342 0.3317 0.9999 Pr
0.3341 0.0001 0.3317 Pr
0.6658 0.6683 0.0001 Pr
0.0000 0.0000 0.0000 Tm
0.0000 0.3336 0.6665 Sm
0.0000 0.6664 0.3335 Sm
0.3335 0.6665 0.6664 Sm
0.6665 0.3335 0.3336 Sm
```



Entry 17:
TiAlTl2H after structural relaxation, computed with GGA-PBE.

## Properties
Magnetic moment = 0.000 μB/atom
Fermi-level density of states = 0.34 states/eV/atom
Energy = -2.85 eV/atom
SG = P4/mmm, No. 123

The structure in POSCAR format:
```
TiAlTl2H
1.0
-5.1116 0.4918 -0.9452
-0.4862 -5.0136 0.0208
-0.9387 0.1124 5.1351
Tl Al Ti H
2 1 1 1
Direct
0.5000 0.0000 0.0000 Tl
0.0000 0.0000 0.5000 Tl
0.0000 0.0000 0.0000 Al
0.0000 0.5000 0.0000 Ti
0.5000 0.5000 0.5000 H
```



Entry 18:
Na2CdGe2 after structural relaxation, computed with GGA-PBE.

## Properties
Magnetic moment = 0.000 μB/atom
Fermi-level density of states = 0.37 states/eV/atom
Energy = -2.44 eV/atom
SG = I4/mmm, No. 139
E_form = 0.1207 eV per atom
Energy above the lowest structure with this stoichiometry = 199 meV/atom

The structure in POSCAR format:
```
Na2CdGe2
1.0
4.2624 0.0000 0.0000
0.0000 4.2624 0.0000
2.1312 2.1312 6.5295
Ge Na Cd
2 2 1
Direct
0.5901 0.5901 0.8198 Ge
0.4099 0.4099 0.1802 Ge
0.7500 0.2500 0.5000 Na
0.2500 0.7500 0.5000 Na
0.0000 0.0000 0.0000 Cd
```



Entry 19:
YGaAg2W after structural relaxation, computed with GGA-PBE.

## Properties
Magnetic moment = 0.001 μB/atom
Fermi-level density of states = 1.15 states/eV/atom
Energy = -4.43 eV/atom
SG = P4/mmm, No. 123
E_form = 1.2006 eV per atom

The structure in POSCAR format:
```
YGaAg2W
1.0
-4.0871 -1.7281 1.4247
0.2799 -3.7557 -3.7526
2.2262 -2.8098 2.9782
Ag W Y Ga
2 1 1 1
Direct
0.5000 0.0000 0.0000 Ag
0.0000 0.0000 0.5000 Ag
0.5000 0.5000 0.5000 W
0.0000 0.5000 0.0000 Y
0.0000 0.0000 0.0000 Ga
```



Entry 20:
CsKS2Cl after structural relaxation, computed with GGA-PBE.

## Properties
Magnetic moment = 0.000 μB/atom
Fermi-level density of states = 0.42 states/eV/atom
Energy = -2.76 eV/atom
SG = P4/mmm, No. 123
Uncorrected formation energy = -347.4 meV per atom
Energy above the lowest structure with this stoichiometry = 0 meV/atom

The structure in POSCAR format:
```
CsKS2Cl
1.0
-0.0195 2.7709 -4.6426
-5.2027 -1.3548 -0.7867
-1.5588 4.4426 2.6581
K Cl S Cs
1 1 2 1
Direct
0.0000 0.5000 0.0000 K
0.0000 0.0000 0.0000 Cl
0.0000 0.0000 0.5000 S
0.5000 0.0000 0.0000 S
0.5000 0.5000 0.5000 Cs
```



Entry 21:
RbCr2CdGa after structural relaxation, computed with GGA-PBE.

## Properties
Magnetic moment = 1.876 μB/atom
Fermi-level density of states = 0.57 states/eV/atom
Energy = -4.07 eV/atom
SG = P4/mmm, No. 123
E_form = 0.7584 eV per atom

The structure in POSCAR format:
```
RbCr2CdGa
1.0
-3.1240 -2.4089 -3.4069
1.0272 -4.6340 2.3347
-4.0478 0.7173 3.2046
Rb Cr Cd Ga
1 2 1 1
Direct
0.5000 0.5000 0.5000 Rb
0.0000 0.0000 0.5000 Cr
0.5000 0.0000 0.0000 Cr
0.0000 0.5000 0.0000 Cd
0.0000 0.0000 0.0000 Ga
```



Entry 22:
Th2CuOs after structural relaxation, computed with GGA-PBE.

## Properties
Magnetic moment = 0.000 μB/atom
Fermi-level density of states = 1.25 states/eV/atom
Energy = -6.91 eV/atom
SG = R-3m, No. 166
E_form = 0.6345 eV per atom

The structure in POSCAR format:
```
Th2CuOs
1.0
-1.3235 -2.8720 0.7850
1.7889 -2.2555 1.5261
-2.8011 2.1655 9.9620
Os Th Cu
1 2 1
Direct
0.5000 0.5000 0.5000 Os
0.9078 0.9078 0.2766 Th
0.0922 0.0922 0.7234 Th
0.0000 0.0000 0.0000 Cu
```



Entry 23:
SrFeSe2 after structural relaxation, computed with GGA-PBE.

## Properties
Magnetic moment = 0.433 μB/atom
Fermi-level density of states = 1.25 states/eV/atom
Energy = -4.55 eV/atom
SG = R-3m, No. 166
Uncorrected formation energy = -268.5 meV per atom
Energy above the lowest structure with this stoichiometry = 592 meV/atom

The structure in POSCAR format:
```
SrFeSe2
1.0
0.3545 7.1949 4.9932
2.4882 4.7865 6.9081
3.9422 6.7052 4.0402
Fe Sr Se
1 1 2
Direct
0.5000 0.5000 0.5000 Fe
0.0000 0.0000 0.0000 Sr
0.1193 0.1193 0.1193 Se
0.8807 0.8807 0.8807 Se
```



Entry 24:
Ga2CuAsSe2 after structural relaxation, computed with GGA-PBE.

## Properties
Magnetic moment = 0.000 μB/atom
Fermi-level density of states = 0.05 states/eV/atom
Energy = -3.99 eV/atom
SG = Cmc2_1, No. 36
Uncorrected formation energy = -359.9 meV per atom

The structure in POSCAR format:
```
Ga2CuAsSe2
1.0
6.6842 0.0000 0.0000
0.0000 6.9665 0.0000
0.0000 -3.4832 6.0399
Ga Se As Cu
4 4 2 2
Direct
0.3041 0.1679 0.6903 Ga
0.8041 0.8321 0.3097 Ga
0.8041 0.5224 0.6903 Ga
0.3041 0.4776 0.3097 Ga
0.1864 0.8326 0.3327 Se
0.6864 0.5001 0.3327 Se
0.6864 0.1674 0.6673 Se
0.1864 0.4999 0.6673 Se
0.6730 0.8567 0.0000 As
0.1730 0.1433 0.0000 As
0.8194 0.1710 0.0000 Cu
0.3194 0.8290 0.0000 Cu
```